The following is a PBE-GGA calculation of a geometry-optimized CsSiI structure, from Alexandria.

The structure in CIF format:
```
data_CsSiI
_cell_length_a 4.159
_cell_length_b 6.738
_cell_length_c 9.339
_cell_angle_alpha 71.48
_cell_angle_beta 77.17
_cell_angle_gamma 89.91
_space_group_name_H-M_alt 'P 1'
_space_group_IT_number 1
loop_
_space_group_symop_operation_xyz
'x,y,z'
loop_
_atom_site_label
_atom_site_type_symbol
_atom_site_fract_x
_atom_site_fract_y
_atom_site_fract_z
_atom_site_occupancy
Cs1 Cs 0.000 0.000 0.000 1
Cs2 Cs 0.239 0.665 0.520 1
Si1 Si 0.385 0.247 0.228 1
Si2 Si 0.853 0.418 0.292 1
I1 I 0.535 0.527 0.932 1
I2 I 0.707 0.139 0.587 1
```

Properties
The value obtained for the calculated density is 4.0 Mg/m³. As for the magnetization: 0.0 μB/f.u. For the uncorrected formation energy, the calculation gives -129 kJ/mol of formula units.